1.
Below is a geometry-optimized Ce8P3Br4N structure, with properties calculated at the PBE level.

It has space group R-3m (No. 166, hexagonal axes), with a = 8.0123 Å, b = 8.0123 Å, c = 21.7341 Å, α = 90.00°, β = 90.00° and γ = 120.00°. The inequivalent atoms are Ce at (0.0000, 0.0000, 0.2381), Ce at (0.0302, 0.5151, 0.2331), P at (0.0000, 0.5000, 0.5000), Br at (0.0000, 0.0000, 0.0000), Br at (0.0000, 0.5000, 0.0000) and N at (0.0000, 0.0000, 0.5000).

The value obtained for the total moment is 23.01 μB/cell. Its calculated volume is 402.8 Å³/f.u. As for the energy relative to the elements, uncorrected: -22.05 eV/f.u. For the density of states at the Fermi level, the calculation gives 42.1 states/eV/f.u.

=====

2.
Below is a geometry-optimized CePbBr2N structure, with properties calculated at the PBE level.

It has space group P4/nmm (No. 129, origin choice 2), with a = 4.131 Å, b = 4.131 Å, c = 16.640 Å, α = 90.00°, β = 90.00° and γ = 90.00°. The inequivalent atoms are Ce at (0.250, 0.250, 0.063), Pb at (0.250, 0.250, 0.638), Br at (0.250, 0.250, 0.428), Br at (0.250, 0.250, 0.822) and N at (0.250, 0.750, 0.000).

The value obtained for the total moment is 0.75 μB/cell. Its calculated volume is 142.0 Å³/f.u. As for the energy relative to the elements, uncorrected: -5.57 eV/f.u. For the density of states at the Fermi level, the calculation gives 5.5 states/eV/f.u.

=====

3.
Below is a geometry-optimized Ce2ScBr2N2 structure, with properties calculated at the PBE level.

It has space group I4/mmm (No. 139), with a = 4.254 Å, b = 4.254 Å, c = 16.489 Å, α = 90.00°, β = 90.00° and γ = 90.00°. The inequivalent atoms are Ce at (0.000, 0.000, 0.090), Sc at (0.000, 0.000, 0.500), Br at (0.000, 0.000, 0.324) and N at (0.000, 0.500, 0.000).

The value obtained for the total moment is 5.97 μB/cell. Its calculated volume is 149.2 Å³/f.u. As for the energy relative to the elements, uncorrected: -10.74 eV/f.u. For the density of states at the Fermi level, the calculation gives 12.4 states/eV/f.u.

=====

4.
Below is a geometry-optimized Ce2SeBr2N structure, with properties calculated at the PBE level.

It has space group Pmc2_1 (No. 26), with a = 4.015 Å, b = 11.303 Å, c = 7.783 Å, α = 90.00°, β = 90.00° and γ = 90.00°. The inequivalent atoms are Ce at (0.000, 0.057, 0.000), Ce at (0.500, 0.216, 0.396), Se at (0.500, 0.069, 0.705), Br at (0.000, 0.393, 0.509), Br at (0.500, 0.269, 0.031) and N at (0.000, 0.119, 0.364).

The value obtained for the total moment is 2.12 μB/cell. Its calculated volume is 176.6 Å³/f.u. As for the energy relative to the elements, uncorrected: -10.23 eV/f.u. For the density of states at the Fermi level, the calculation gives 8.1 states/eV/f.u.

=====

5.
Below is a geometry-optimized CeSmBrN structure, with properties calculated at the PBE level.

It has space group R3m (No. 160, hexagonal axes), with a = 3.6422 Å, b = 3.6422 Å, c = 22.2780 Å, α = 90.00°, β = 90.00° and γ = 120.00°. The inequivalent atoms are Ce at (0.0000, 0.0000, 0.0000), Sm at (0.0000, 0.0000, 0.7875), Br at (0.0000, 0.0000, 0.5568) and N at (0.0000, 0.0000, 0.3927).

The value obtained for the total moment is 3.11 μB/cell. Its calculated volume is 85.3 Å³/f.u. As for the energy relative to the elements, uncorrected: -5.57 eV/f.u. For the density of states at the Fermi level, the calculation gives 3.8 states/eV/f.u.

=====

6.
Below is a geometry-optimized NaCeBr5 structure, with properties calculated at the PBE level.

It has space group C2/c (No. 15), with a = 12.535 Å, b = 8.696 Å, c = 11.086 Å, α = 90.00°, β = 116.57° and γ = 90.00°. The inequivalent atoms are Na at (0.000, 0.027, 0.250), Ce at (0.000, 0.500, 0.000), Br at (0.000, 0.392, 0.250), Br at (0.059, 0.201, 0.970) and Br at (0.236, 0.425, 0.640).

The value obtained for the total moment is 0.00 μB/cell. Its calculated volume is 270.2 Å³/f.u. As for the energy relative to the elements, uncorrected: -10.68 eV/f.u.

=====

7.
Below is a geometry-optimized NaCeBr3 structure, with properties calculated at the PBE level.

It has space group P2_1/m (No. 11), with a = 7.735 Å, b = 4.100 Å, c = 10.486 Å, α = 90.00°, β = 103.12° and γ = 90.00°. The inequivalent atoms are Na at (0.218, 0.250, 0.460), Ce at (0.374, 0.250, 0.860), Br at (0.016, 0.250, 0.674), Br at (0.234, 0.750, 0.020) and Br at (0.454, 0.750, 0.657).

The value obtained for the total moment is 4.00 μB/cell. Its calculated volume is 161.9 Å³/f.u. As for the energy relative to the elements, uncorrected: -7.83 eV/f.u. For the density of states at the Fermi level, the calculation gives 5.5 states/eV/f.u.

=====

8.
Below is a geometry-optimized NaCe2Br6 structure, with properties calculated at the PBE level.

It has space group P4_2/mnm (No. 136), with a = 7.111 Å, b = 7.111 Å, c = 13.267 Å, α = 90.00°, β = 90.00° and γ = 90.00°. The inequivalent atoms are Na at (0.000, 0.000, 0.000), Ce at (0.000, 0.000, 0.339), Br at (0.200, 0.200, 0.169) and Br at (0.205, 0.205, 0.500).

The value obtained for the total moment is 6.00 μB/cell. Its calculated volume is 335.5 Å³/f.u. As for the energy relative to the elements, uncorrected: -15.07 eV/f.u. For the density of states at the Fermi level, the calculation gives 16.1 states/eV/f.u.

=====

9.
Below is a geometry-optimized Na5Ce3Br12 structure, with properties calculated at the PBE level.

It has space group Ia-3d (No. 230), with a = 17.386 Å, b = 17.386 Å, c = 17.386 Å, α = 90.00°, β = 90.00° and γ = 90.00°. The inequivalent atoms are Na at (0.000, 0.000, 0.000), Na at (0.000, 0.250, 0.375), Ce at (0.000, 0.250, 0.125) and Br at (0.022, 0.069, 0.653).

The value obtained for the total moment is 40.19 μB/cell. Its calculated volume is 656.9 Å³/f.u. As for the energy relative to the elements, uncorrected: -30.69 eV/f.u. For the density of states at the Fermi level, the calculation gives 29.2 states/eV/f.u.

=====

10.
Below is a geometry-optimized NaCeBr4 structure, with properties calculated at the PBE level.

It has space group C2/c (No. 15), with a = 8.882 Å, b = 17.018 Å, c = 7.356 Å, α = 90.00°, β = 126.42° and γ = 90.00°. The inequivalent atoms are Na at (0.000, 0.092, 0.250), Ce at (0.000, 0.414, 0.750), Br at (0.239, 0.309, 0.747) and Br at (0.240, 0.457, 0.240).

The value obtained for the total moment is 4.00 μB/cell. Its calculated volume is 223.7 Å³/f.u. As for the energy relative to the elements, uncorrected: -10.12 eV/f.u. For the density of states at the Fermi level, the calculation gives 8.1 states/eV/f.u.

=====

11.
Below is a geometry-optimized Na2Ce2Br7 structure, with properties calculated at the PBE level.

It has space group C2/m (No. 12), with a = 11.096 Å, b = 9.572 Å, c = 7.650 Å, α = 90.00°, β = 98.65° and γ = 90.00°. The inequivalent atoms are Na at (0.000, 0.219, 0.000), Ce at (0.224, 0.000, 0.499), Br at (0.000, 0.500, 0.500), Br at (0.025, 0.000, 0.741) and Br at (0.225, 0.251, 0.245).

The value obtained for the total moment is 6.01 μB/cell. Its calculated volume is 401.6 Å³/f.u. As for the energy relative to the elements, uncorrected: -17.78 eV/f.u. For the density of states at the Fermi level, the calculation gives 19.5 states/eV/f.u.

=====

12.
Below is a geometry-optimized NaCe3Br8 structure, with properties calculated at the PBE level.

It has space group R-3m (No. 166, hexagonal axes), with a = 8.3490 Å, b = 8.3490 Å, c = 21.8294 Å, α = 90.00°, β = 90.00° and γ = 120.00°. The inequivalent atoms are Na at (0.0000, 0.0000, 0.0000), Ce at (0.0000, 0.5000, 0.5000), Br at (0.0000, 0.0000, 0.2510) and Br at (0.0037, 0.5018, 0.7523).

The value obtained for the total moment is 15.01 μB/cell. Its calculated volume is 439.3 Å³/f.u. As for the energy relative to the elements, uncorrected: -19.95 eV/f.u. For the density of states at the Fermi level, the calculation gives 23.7 states/eV/f.u.